[1]
LiTePdPb: relaxed, PBE.

For the total energy, the calculation gives -15.382 eV per formula unit.

The structure belongs to space group F-43m (No. 216); the cell edges are 7.035, 7.035 and 7.035 Å and the angles 90.00°, 90.00° and 90.00°. Symmetry generates all atoms from Li at (0.000, 0.000, 0.000), Te at (0.250, 0.250, 0.250), Pd at (0.000, 0.000, 0.500) and Pb at (0.250, 0.250, 0.750).

---

[2]
Nd4TlPbN: relaxed, PBE.

For the total energy, the calculation gives -38.348 eV per formula unit.

The structure belongs to space group Cmcm (No. 63); the cell edges are 6.983, 16.632 and 6.984 Å and the angles 90.00°, 90.00° and 90.00°. Symmetry generates all atoms from Nd at (0.000, 0.086, 0.250), Nd at (0.000, 0.411, 0.250), Nd at (0.250, 0.250, 0.000), Tl at (0.000, 0.110, 0.750), Pb at (0.000, 0.393, 0.750) and N at (0.000, 0.251, 0.250).

---

Number 1: V 348.14 Å³/cell. Number 2: V 811.16 Å³/cell.